<1>
Mn2SeI after structural relaxation, computed with PBE-GGA.

```
data_Mn2SeI
_cell_length_a 6.2760
_cell_length_b 6.2760
_cell_length_c 6.2760
_cell_angle_alpha 90.00
_cell_angle_beta 90.00
_cell_angle_gamma 90.00
_symmetry_space_group_name_H-M 'F m -3 m'
_symmetry_Int_Tables_number 225
_symmetry_space_group_name_Hall '-F 4 2 3'
loop_
_atom_site_label
_atom_site_type_symbol
_atom_site_fract_x
_atom_site_fract_y
_atom_site_fract_z
_atom_site_occupancy
Mn1 Mn 0.2500 0.2500 0.2500 1
Se1 Se 0.0000 0.0000 0.0000 1
I1 I 0.0000 0.0000 0.5000 1
```

Output
magnetic moment: 0.008 μB/cell

<2>
Mn2SeI after structural relaxation, computed with PBE-GGA.

```
data_Mn2SeI
_cell_length_a 5.3813
_cell_length_b 5.3813
_cell_length_c 11.6947
_cell_angle_alpha 90.00
_cell_angle_beta 90.00
_cell_angle_gamma 90.00
_symmetry_space_group_name_H-M 'I -4 2 d'
_symmetry_Int_Tables_number 122
_symmetry_space_group_name_Hall 'I -4 2bw'
loop_
_atom_site_label
_atom_site_type_symbol
_atom_site_fract_x
_atom_site_fract_y
_atom_site_fract_z
_atom_site_occupancy
Mn1 Mn 0.2124 0.2500 0.1250 1
Se1 Se 0.0000 0.0000 0.0000 1
I1 I 0.0000 0.0000 0.5000 1
```

Output
magnetic moment: 4.697 μB/cell

It comes down to <2>, which is 249 meV per atom more stable than the next structure.

<1>
Mn3SiI after structural relaxation, computed with PBE-GGA.

```
data_Mn3SiI
_cell_length_a 4.9160
_cell_length_b 4.9160
_cell_length_c 4.9160
_cell_angle_alpha 90.00
_cell_angle_beta 90.00
_cell_angle_gamma 90.00
_symmetry_space_group_name_H-M 'P m -3 m'
_symmetry_Int_Tables_number 221
_symmetry_space_group_name_Hall '-P 4 2 3'
loop_
_atom_site_label
_atom_site_type_symbol
_atom_site_fract_x
_atom_site_fract_y
_atom_site_fract_z
_atom_site_occupancy
Mn1 Mn 0.0000 0.0000 0.5000 1
Si1 Si 0.0000 0.0000 0.0000 1
I1 I 0.5000 0.5000 0.5000 1
```

Output
magnetic moment: 13.974 μB/cell

<2>
Mn3SiI after structural relaxation, computed with PBE-GGA.

```
data_Mn3SiI
_cell_length_a 4.8973
_cell_length_b 4.8973
_cell_length_c 4.8973
_cell_angle_alpha 90.00
_cell_angle_beta 90.00
_cell_angle_gamma 90.00
_symmetry_space_group_name_H-M 'P m -3 m'
_symmetry_Int_Tables_number 221
_symmetry_space_group_name_Hall '-P 4 2 3'
loop_
_atom_site_label
_atom_site_type_symbol
_atom_site_fract_x
_atom_site_fract_y
_atom_site_fract_z
_atom_site_occupancy
Mn1 Mn 0.0000 0.0000 0.5000 1
Si1 Si 0.5000 0.5000 0.5000 1
I1 I 0.0000 0.0000 0.0000 1
```

Output
magnetic moment: 10.459 μB/cell

It comes down to <1>, which is 919 meV per atom more stable than the next structure.

<1>
MnSi2I after structural relaxation, computed with PBE-GGA.

```
data_MnSi2I
_cell_length_a 4.8656
_cell_length_b 4.8656
_cell_length_c 16.3409
_cell_angle_alpha 90.00
_cell_angle_beta 90.00
_cell_angle_gamma 90.00
_symmetry_space_group_name_H-M 'I -4 2 d'
_symmetry_Int_Tables_number 122
_symmetry_space_group_name_Hall 'I -4 2bw'
loop_
_atom_site_label
_atom_site_type_symbol
_atom_site_fract_x
_atom_site_fract_y
_atom_site_fract_z
_atom_site_occupancy
Mn1 Mn 0.0000 0.0000 0.0000 1
Si1 Si 0.0059 0.2500 0.1250 1
I1 I 0.0000 0.0000 0.5000 1
```

Output
magnetic moment: 10.931 μB/cell

<2>
MnSi2I after structural relaxation, computed with PBE-GGA.

```
data_MnSi2I
_cell_length_a 6.4710
_cell_length_b 6.4710
_cell_length_c 6.4710
_cell_angle_alpha 90.00
_cell_angle_beta 90.00
_cell_angle_gamma 90.00
_symmetry_space_group_name_H-M 'F m -3 m'
_symmetry_Int_Tables_number 225
_symmetry_space_group_name_Hall '-F 4 2 3'
loop_
_atom_site_label
_atom_site_type_symbol
_atom_site_fract_x
_atom_site_fract_y
_atom_site_fract_z
_atom_site_occupancy
Mn1 Mn 0.0000 0.0000 0.0000 1
Si1 Si 0.2500 0.2500 0.2500 1
I1 I 0.0000 0.0000 0.5000 1
```

Output
magnetic moment: 0.000 μB/cell

It comes down to <1>, which is 676 meV per atom more stable than the next structure.